# ZnI2O2

A relaxed structure of ZnI2O2 (PBE, Alexandria via LeMat-Bulk).

a = 4.9031 Å, b = 4.9031 Å, c = 3.9715 Å
α = 90.00°, β = 90.00°, γ = 90.00°
Closest atoms and distances in Å follow each position.
Sites, in units of the cell vectors:
I (0.5000, 0.0000, 0.0000)  2 O 2.45
I (0.0000, 0.5000, 0.0000)  2 O 2.45
O (0.0000, 0.0000, 0.0000)  2 O 1.99
O (0.0000, 0.0000, 0.5000)  2 O 1.99
Zn (0.5000, 0.5000, 0.5000)  8 I 3.15, 4 O 3.47

Computed properties:
Formation energy from raw total energies   325 kJ/mol of formula units
V   19.09 Å³/atom
ρ   6.1 g cm⁻³
Total DFT energy (no corrections)   -0.161 Ry/atom
Relative energy among the computed polymorphs   655 meV per atom
Space group   P4/mmm, No. 123